Density functional theory data (PBE) for LaNdAlTl after structural relaxation.

```
LaNdAlTl
1.0
5.4693 0.0000 0.0000
2.7346 4.7365 0.0000
2.7346 1.5788 4.4656
Tl Nd Al La
1 1 1 1
Direct
0.5000 0.5000 0.5000 Tl
0.2500 0.2500 0.2500 Nd
0.0000 0.0000 0.0000 Al
0.7500 0.7500 0.7500 La
```

## Properties
magnetic moment = 0.00 μB per atom
calculated formation energy = -1.41 eV/f.u.
Fermi-level density of states = 2.2 states/eV per cell
energy relative to the lowest polymorph listed for this composition = 25 meV per atom
uncorrected energy = -4.30 eV/atom

Density functional theory data (PBE) for DyIrRu after structural relaxation.

```
DyIrRu
1.0
5.2855 -0.0200 0.0000
-2.5778 4.6144 0.0000
0.0000 0.0000 8.8661
Dy Ir Ru
4 4 4
Direct
0.3328 0.6673 0.3186 Dy
0.6660 0.3340 0.1835 Dy
0.6660 0.3340 0.8165 Dy
0.3328 0.6673 0.6814 Dy
0.9983 0.0017 0.2502 Ir
0.9983 0.0017 0.7498 Ir
0.3400 0.1685 0.5000 Ir
0.8315 0.6600 0.5000 Ir
0.8289 0.1711 0.5000 Ru
0.6616 0.8307 0.0000 Ru
0.1693 0.3384 0.0000 Ru
0.1742 0.8258 0.0000 Ru
```

## Properties
magnetic moment = 0.00 μB per atom
calculated formation energy = -1.74 eV/f.u.
Fermi-level density of states = 11.5 states/eV per cell
energy relative to the lowest polymorph listed for this composition = 0 meV per atom
uncorrected energy = -8.16 eV/atom

Density functional theory data (PBE) for Ta2ZnAs after structural relaxation.

```
Ta2ZnAs
1.0
-7.9656 -3.5783 -2.7011
-6.1498 -5.7760 -3.5168
-7.1554 -5.6406 -0.7306
As Ta Zn
1 2 1
Direct
0.7500 0.7500 0.7500 As
0.0022 0.0022 0.0022 Ta
0.4978 0.4978 0.4978 Ta
0.2500 0.2500 0.2500 Zn
```

## Properties
magnetic moment = 0.00 μB per atom
calculated formation energy = 0.54 eV/f.u.
Fermi-level density of states = 3.6 states/eV per cell
energy relative to the lowest polymorph listed for this composition = 190 meV per atom
uncorrected energy = -7.27 eV/atom

Density functional theory data (PBE) for ZnRh2I after structural relaxation.

```
ZnRh2I
1.0
1.5771 1.5955 3.9613
-2.9025 1.5369 3.1525
-0.6610 -2.3667 3.8323
I Zn Rh
1 1 2
Direct
0.5000 0.5000 0.5000 I
0.0000 0.0000 0.0000 Zn
0.2500 0.2500 0.2500 Rh
0.7500 0.7500 0.7500 Rh
```

## Properties
magnetic moment = 0.00 μB per atom
Fermi-level density of states = 4.7 states/eV per cell
raw formation energy = 1.30 eV/f.u.
energy relative to the lowest polymorph listed for this composition = 0 meV per atom
uncorrected energy = -4.06 eV/atom

Which formula does entry 3 have? Ta2ZnAs

Which formula does entry 3 have? Ta2ZnAs